# Tb2ErCu4Si2Ge2 PBE relaxed
# excess energy over the best structure of this formula in the dataset	0.00	eV/f.u.
# spin magnetization	0.00	μB per formula unit
data_Tb2ErCu4Si2Ge2
_space_group_name_H-M_alt 'I m m m'
_space_group_IT_number 71
_space_group_name_Hall '-I 2 2'
_cell_length_a 4.1493
_cell_length_b 6.5814
_cell_length_c 13.8395
_cell_angle_alpha 90.00
_cell_angle_beta 90.00
_cell_angle_gamma 90.00
loop_
_atom_site_label
_atom_site_fract_x
_atom_site_fract_y
_atom_site_fract_z
Tb1 0.0000 0.0000 0.1301
Er1 0.0000 0.5000 0.0000
Cu1 0.0000 0.1902 0.3266
Si1 0.0000 0.5000 0.2156
Ge1 0.0000 0.3058 0.5000

---

# YEr2Cu4Si2Ge2 PBE relaxed
# excess energy over the best structure of this formula in the dataset	0.09	eV/f.u.
# spin magnetization	0.00	μB per formula unit
data_YEr2Cu4Si2Ge2
_space_group_name_H-M_alt 'I m m m'
_space_group_IT_number 71
_space_group_name_Hall '-I 2 2'
_cell_length_a 4.1507
_cell_length_b 6.5883
_cell_length_c 13.7539
_cell_angle_alpha 90.00
_cell_angle_beta 90.00
_cell_angle_gamma 90.00
loop_
_atom_site_label
_atom_site_fract_x
_atom_site_fract_y
_atom_site_fract_z
Y1 0.0000 0.0000 0.0000
Er1 0.0000 0.5000 0.1290
Cu1 0.0000 0.3086 0.3360
Si1 0.0000 0.1829 0.5000
Ge1 0.0000 0.0000 0.2175

---

# Y2ErCu4Si2Ge2 PBE relaxed
# uncorrected energy	-5.408	eV/atom
# spin magnetization	0.00	μB per formula unit
data_Y2ErCu4Si2Ge2
_space_group_name_H-M_alt 'I m m m'
_space_group_IT_number 71
_space_group_name_Hall '-I 2 2'
_cell_length_a 4.1411
_cell_length_b 6.5878
_cell_length_c 13.8052
_cell_angle_alpha 90.00
_cell_angle_beta 90.00
_cell_angle_gamma 90.00
loop_
_atom_site_label
_atom_site_fract_x
_atom_site_fract_y
_atom_site_fract_z
Y1 0.0000 0.0000 0.1297
Er1 0.0000 0.5000 0.0000
Cu1 0.0000 0.1898 0.3262
Si1 0.0000 0.5000 0.2159
Ge1 0.0000 0.3056 0.5000

---

# YEr2Cu4Si2Ge2 PBE relaxed
# excess energy over the best structure of this formula in the dataset	0.00	eV/f.u.
# spin magnetization	0.00	μB per formula unit
data_YEr2Cu4Si2Ge2
_space_group_name_H-M_alt 'I m m m'
_space_group_IT_number 71
_space_group_name_Hall '-I 2 2'
_cell_length_a 4.1160
_cell_length_b 6.6049
_cell_length_c 13.7592
_cell_angle_alpha 90.00
_cell_angle_beta 90.00
_cell_angle_gamma 90.00
loop_
_atom_site_label
_atom_site_fract_x
_atom_site_fract_y
_atom_site_fract_z
Y1 0.0000 0.0000 0.0000
Er1 0.0000 0.5000 0.1296
Cu1 0.0000 0.3090 0.3253
Si1 0.0000 0.0000 0.2172
Ge1 0.0000 0.1918 0.5000